Entry 1:
Density functional theory data (PBE) for a relaxed YCuGe2Os crystal.

The structure belongs to space group I-4m2 (No. 119); the cell edges are 4.091, 4.091 and 10.537 Å and the angles 90.00°, 90.00° and 90.00°. The asymmetric unit holds Y at (0.000, 0.000, 0.000), Cu at (0.000, 0.500, 0.750), Ge at (0.000, 0.000, 0.380) and Os at (0.000, 0.500, 0.250).

As for the total energy: -65.526 eV for the cell shown. The size of the total moment comes out at 0.00 Bohr magnetons per cell. As for the formation enthalpy at 0 K: -348 meV per atom. The density of states at the Fermi level comes out at 5.11 states/eV/cell.

Entry 2:
Density functional theory data (PBE) for a relaxed CuGeP2 crystal.

The structure belongs to space group R-3m (No. 166, hexagonal axes); the cell edges are 3.5209, 3.5209 and 21.5650 Å and the angles 90.00°, 90.00° and 120.00°. The asymmetric unit holds Cu at (0.0000, 0.0000, 0.0000), Ge at (0.0000, 0.0000, 0.5000) and P at (0.0000, 0.0000, 0.1011).

As for the total energy: -54.701 eV for the cell shown. The size of the total moment comes out at 0.00 Bohr magnetons per cell. As for the formation enthalpy at 0 K: 325 meV per atom. The density of states at the Fermi level comes out at 6.38 states/eV/cell.

Entry 3:
Density functional theory data (PBE) for a relaxed Cu2GeP crystal.

The structure belongs to space group Fm-3m (No. 225); the cell edges are 6.156, 6.156 and 6.156 Å and the angles 90.00°, 90.00° and 90.00°. The asymmetric unit holds Cu at (0.250, 0.250, 0.250), Ge at (0.000, 0.000, 0.000) and P at (0.000, 0.000, 0.500).

As for the total energy: -68.296 eV for the cell shown. The size of the total moment comes out at 0.00 Bohr magnetons per cell. As for the formation enthalpy at 0 K: 286 meV per atom. The density of states at the Fermi level comes out at 5.68 states/eV/cell.

Entry 4:
Density functional theory data (PBE) for a relaxed Cu2GeP crystal.

The structure belongs to space group I-42d (No. 122); the cell edges are 4.089, 4.089 and 15.018 Å and the angles 90.00°, 90.00° and 90.00°. The asymmetric unit holds Cu at (0.207, 0.250, 0.125), Ge at (0.000, 0.000, 0.500) and P at (0.000, 0.000, 0.000).

As for the total energy: -71.056 eV for the cell shown. The size of the total moment comes out at 0.00 Bohr magnetons per cell. As for the formation enthalpy at 0 K: 114 meV per atom. The density of states at the Fermi level comes out at 6.51 states/eV/cell.